(1)
The following is a DFT calculation (PBE) of a relaxed structure of Pm2Pr5Y.

- Relative energy among the computed polymorphs: 192 meV per atom
- Crystal system: monoclinic
- Size of the total moment: 0.0000 μB per atom
- Total DFT energy (no corrections): -4.78 eV per atom
- Formation energy: 0.205 eV/atom

```
Pm2Pr5Y
1.0
3.178 -14.406 0.000
3.178 14.406 0.000
-2.231 0.000 6.318
Pm Pr Y
4 10 2
direct
0.000 0.000 0.000
0.000 0.000 0.500
0.000 0.500 0.000
0.500 0.000 0.500
0.070 0.453 0.505
0.096 0.904 0.750
0.189 0.408 0.911
0.408 0.189 0.411
0.453 0.070 0.005
0.547 0.930 0.995
0.592 0.811 0.589
0.811 0.592 0.089
0.904 0.096 0.250
0.930 0.547 0.495
0.488 0.512 0.250
0.512 0.488 0.750
```



(2)
The following is a DFT calculation (PBE) of a relaxed structure of TaHg2Pd2.

- Relative energy among the computed polymorphs: 0 meV per atom
- Crystal system: tetragonal
- Size of the total moment: 0.0000 μB per atom
- Total DFT energy (no corrections): -4.38 eV per atom
- Formation energy: 0.184 eV/atom

```
TaHg2Pd2
1.0
6.895 0.000 0.000
0.000 6.895 0.000
0.000 0.000 3.979
Ta Hg Pd
2 4 4
direct
0.000 0.000 0.000
0.500 0.500 0.000
0.166 0.334 0.500
0.334 0.834 0.500
0.666 0.166 0.500
0.834 0.666 0.500
0.139 0.639 0.000
0.361 0.139 0.000
0.639 0.861 0.000
0.861 0.361 0.000
```



(3)
The following is a DFT calculation (PBE) of a relaxed structure of Tm5ThTl4.

- Crystal system: tetragonal
- Size of the total moment: 0.0344 μB per atom
- Total DFT energy (no corrections): -4.17 eV per atom
- Formation energy: -0.250 eV/atom

```
Tm5ThTl4
1.0
3.523 0.000 0.000
0.000 3.523 0.000
0.000 0.000 21.951
Tm Th Tl
5 1 4
direct
0.000 0.000 0.000
0.000 0.000 0.195
0.000 0.000 0.390
0.000 0.000 0.610
0.000 0.000 0.805
0.500 0.500 0.500
0.500 0.500 0.097
0.500 0.500 0.292
0.500 0.500 0.708
0.500 0.500 0.903
```